Entry 1:
First-principles (GGA-PBE) data for a relaxed structure of CsSn2Ru, as listed in Alexandria.

abc: 7.0791 7.0791 8.6036
angles: 65.71 65.71 90.00
Last column: nearest neighbours and their distance in Å.
Fractional positions:
Ru 0.2500 0.7500 0.5000  4 Sn 2.49
Ru 0.5000 0.5000 0.0000  4 Sn 2.49
Cs 0.7500 0.2500 0.5000  8 Sn 4.33
Cs 0.0000 0.0000 0.0000  8 Sn 4.33
Sn 0.8750 0.6251 0.7500  2 Ru 2.49
Sn 0.3750 0.6249 0.7500  2 Ru 2.49
Sn 0.3749 0.6250 0.2500  2 Ru 2.49
Sn 0.3751 0.1250 0.2500  2 Ru 2.49

Values from the calculation:
* space-group type: I4_1/amd
* energy of formation from the pure elements: 0.04 eV per atom
* ΔE to the lowest computed polymorph: 0.000 eV/f.u.

Entry 2:
First-principles (GGA-PBE) data for a relaxed structure of CsSn2Ru, as listed in Alexandria.

abc: 5.2713 5.2713 5.2713
angles: 60.00 60.00 60.00
Last column: nearest neighbours and their distance in Å.
Fractional positions:
Sn 0.2500 0.2500 0.2500  4 Cs 3.23, 4 Ru 3.23
Sn 0.7500 0.7500 0.7500  4 Ru 3.23, 4 Cs 3.23
Cs 0.5000 0.5000 0.5000  8 Sn 3.23
Ru 0.0000 0.0000 0.0000  8 Sn 3.23

Values from the calculation:
* space-group type: Fm-3m
* energy of formation from the pure elements: 0.81 eV per atom
* ΔE to the lowest computed polymorph: 3.054 eV/f.u.

Entry 3:
First-principles (GGA-PBE) data for a relaxed structure of CsTl2SnRu, as listed in Alexandria.

abc: 5.4230 5.4230 5.2466
angles: 90.00 90.00 90.00
Last column: nearest neighbours and their distance in Å.
Fractional positions:
Sn 0.0000 0.0000 0.5000  2 Ru 2.62
Ru 0.0000 0.0000 0.0000  2 Sn 2.62, 4 Tl 2.71
Tl 0.5000 0.0000 0.0000  2 Ru 2.71
Tl 0.0000 0.5000 0.0000  2 Ru 2.71
Cs 0.5000 0.5000 0.5000  8 Tl 3.77, 4 Sn 3.83

Values from the calculation:
* space-group type: P4/mmm
* energy of formation from the pure elements: 0.04 eV per atom

Entry 4:
First-principles (GGA-PBE) data for a relaxed structure of CsYSnRu2, as listed in Alexandria.

abc: 5.0327 5.7781 5.0327
angles: 90.00 90.00 90.00
Last column: nearest neighbours and their distance in Å.
Fractional positions:
Ru 0.0000 0.0000 0.5000  2 Sn 2.52
Ru 0.5000 0.0000 0.0000  2 Sn 2.52
Y 0.5000 0.5000 0.5000  4 Cs 3.56, 8 Ru 3.83
Cs 0.0000 0.5000 0.0000  2 Sn 2.89
Sn 0.0000 0.0000 0.0000  4 Ru 2.52

Values from the calculation:
* space-group type: P4/mmm
* energy of formation from the pure elements: 1.37 eV per atom

Entry 5:
First-principles (GGA-PBE) data for a relaxed structure of Cs3SrRu, as listed in Alexandria.

abc: 6.4647 6.4647 6.4647
angles: 90.00 90.00 90.00
Last column: nearest neighbours and their distance in Å.
Fractional positions:
Cs 0.0000 0.0000 0.5000  2 Ru 3.23
Cs 0.5000 0.0000 0.0000  2 Ru 3.23
Cs 0.0000 0.5000 0.0000  2 Ru 3.23
Ru 0.0000 0.0000 0.0000  6 Cs 3.23
Sr 0.5000 0.5000 0.5000  12 Cs 4.57

Values from the calculation:
* space-group type: Pm-3m
* energy of formation from the pure elements: 0.98 eV per atom

Entry 6:
First-principles (GGA-PBE) data for a relaxed structure of Cs2SrRu, as listed in Alexandria.

abc: 8.8293 8.8293 8.8293
angles: 60.00 60.00 60.00
Last column: nearest neighbours and their distance in Å.
Fractional positions:
Cs 0.6250 0.6250 0.1250  2 Ru 2.70
Cs 0.1250 0.6250 0.6250  2 Ru 2.70
Cs 0.6250 0.1250 0.6250  2 Ru 2.70
Cs 0.6250 0.6250 0.6250  2 Ru 2.70
Ru 0.5000 0.5000 0.5000  4 Cs 2.70
Ru 0.7500 0.7500 0.7500  4 Cs 2.70
Sr 0.0000 0.0000 0.0000  12 Cs 5.18, 4 Sr 5.41, 4 Ru 5.41
Sr 0.2500 0.2500 0.2500  12 Cs 5.18, 4 Ru 5.41, 4 Sr 5.41

Values from the calculation:
* space-group type: Fd-3m
* energy of formation from the pure elements: 1.21 eV per atom
* ΔE to the lowest computed polymorph: 0.000 eV/f.u.

Entry 7:
First-principles (GGA-PBE) data for a relaxed structure of CsSr3Ru, as listed in Alexandria.

abc: 6.1001 6.1001 6.1001
angles: 90.00 90.00 90.00
Last column: nearest neighbours and their distance in Å.
Fractional positions:
Sr 0.5000 0.0000 0.0000  2 Cs 3.05
Sr 0.0000 0.5000 0.0000  2 Cs 3.05
Sr 0.0000 0.0000 0.5000  2 Cs 3.05
Ru 0.5000 0.5000 0.5000  12 Sr 4.31
Cs 0.0000 0.0000 0.0000  6 Sr 3.05

Values from the calculation:
* space-group type: Pm-3m
* energy of formation from the pure elements: 1.76 eV per atom
* ΔE to the lowest computed polymorph: 7.310 eV/f.u.

Entry 8:
First-principles (GGA-PBE) data for a relaxed structure of Cs2SrRu, as listed in Alexandria.

abc: 6.2818 6.2818 6.2818
angles: 60.00 60.00 60.00
Last column: nearest neighbours and their distance in Å.
Fractional positions:
Cs 0.2500 0.2500 0.2500  4 Ru 3.85, 4 Sr 3.85
Cs 0.7500 0.7500 0.7500  4 Ru 3.85, 4 Sr 3.85
Ru 0.5000 0.5000 0.5000  8 Cs 3.85
Sr 0.0000 0.0000 0.0000  8 Cs 3.85

Values from the calculation:
* space-group type: Fm-3m
* energy of formation from the pure elements: 1.22 eV per atom
* ΔE to the lowest computed polymorph: 0.039 eV/f.u.

Entry 9:
First-principles (GGA-PBE) data for a relaxed structure of CsSrRu3, as listed in Alexandria.

abc: 5.0071 5.0071 5.0071
angles: 90.00 90.00 90.00
Last column: nearest neighbours and their distance in Å.
Fractional positions:
Ru 0.0000 0.5000 0.0000  2 Cs 2.50
Ru 0.0000 0.0000 0.5000  2 Cs 2.50
Ru 0.5000 0.0000 0.0000  2 Cs 2.50
Sr 0.5000 0.5000 0.5000  12 Ru 3.54
Cs 0.0000 0.0000 0.0000  6 Ru 2.50

Values from the calculation:
* space-group type: Pm-3m
* energy of formation from the pure elements: 2.17 eV per atom

Entry 10:
First-principles (GGA-PBE) data for a relaxed structure of CsSr3Ru, as listed in Alexandria.

abc: 6.1018 6.1018 6.1018
angles: 90.00 90.00 90.00
Last column: nearest neighbours and their distance in Å.
Fractional positions:
Sr 0.5000 0.0000 0.0000  2 Ru 3.05
Sr 0.0000 0.0000 0.5000  2 Ru 3.05
Sr 0.0000 0.5000 0.0000  2 Ru 3.05
Cs 0.5000 0.5000 0.5000  12 Sr 4.31
Ru 0.0000 0.0000 0.0000  6 Sr 3.05

Values from the calculation:
* space-group type: Pm-3m
* energy of formation from the pure elements: 0.30 eV per atom
* ΔE to the lowest computed polymorph: 0.000 eV/f.u.

Entry 11:
First-principles (GGA-PBE) data for a relaxed structure of CsSrTcRu2, as listed in Alexandria.

abc: 4.8167 5.5753 4.8167
angles: 90.00 90.00 90.00
Last column: nearest neighbours and their distance in Å.
Fractional positions:
Ru 0.5000 0.0000 0.0000  2 Tc 2.41
Ru 0.0000 0.0000 0.5000  2 Tc 2.41
Tc 0.0000 0.0000 0.0000  4 Ru 2.41
Sr 0.5000 0.5000 0.5000  4 Cs 3.41, 8 Ru 3.68
Cs 0.0000 0.5000 0.0000  2 Tc 2.79

Values from the calculation:
* space-group type: P4/mmm
* energy of formation from the pure elements: 1.21 eV per atom

Entry 12:
First-principles (GGA-PBE) data for a relaxed structure of CsTa2Ru, as listed in Alexandria.

abc: 4.7840 4.7840 4.7840
angles: 60.00 60.00 60.00
Last column: nearest neighbours and their distance in Å.
Fractional positions:
Ta 0.2500 0.2500 0.2500  4 Ru 2.93, 4 Cs 2.93
Ta 0.7500 0.7500 0.7500  4 Ru 2.93, 4 Cs 2.93
Cs 0.5000 0.5000 0.5000  8 Ta 2.93
Ru 0.0000 0.0000 0.0000  8 Ta 2.93

Values from the calculation:
* space-group type: Fm-3m
* energy of formation from the pure elements: 1.53 eV per atom
* ΔE to the lowest computed polymorph: 0.000 eV/f.u.